# CdSbOs

A geometry-optimized CdSbOs structure (PBE, the Alexandria database).

a = 3.209 Å, b = 3.209 Å, c = 7.050 Å
α = 90.00°, β = 90.00°, γ = 120.00°
Atoms (fractional coordinates):
Cd: 0.000 0.000 0.000
Sb: 0.333 0.667 0.578
Os: 0.667 0.333 0.311

Formation energy without anion corrections, eV per formula unit: 1.3
M_tot, Bohr magnetons per cell: 0.00
Energy above the lowest structure with this stoichiometry, eV/atom: 0.0662
Energy, eV/f.u.: -14.97

=====

# LaNdAu

A geometry-optimized LaNdAu structure (PBE, the Alexandria database).

a = 5.185 Å, b = 5.185 Å, c = 5.185 Å
α = 60.00°, β = 60.00°, γ = 60.00°
Atoms (fractional coordinates):
La: 0.000 0.000 0.000
Nd: 0.500 0.500 0.500
Au: 0.750 0.750 0.750

DFT formation energy, meV/atom: -362
M_tot, Bohr magnetons per cell: 0.10
Energy above the lowest structure with this stoichiometry, eV/atom: 0.1579
Energy, eV/f.u.: -14.06

=====

# HoHfAl2

A geometry-optimized HoHfAl2 structure (PBE, the Alexandria database).

a = 4.900 Å, b = 4.900 Å, c = 4.900 Å
α = 60.00°, β = 60.00°, γ = 60.00°
Atoms (fractional coordinates):
Ho: 0.000 0.000 0.000
Hf: 0.500 0.500 0.500
Al: 0.250 0.250 0.250
Al: 0.750 0.750 0.750

DFT formation energy, meV/atom: -249
M_tot, Bohr magnetons per cell: 0.00
Energy above the lowest structure with this stoichiometry, eV/atom: 0.0450
Energy, eV/f.u.: -23.01

=====

# Li2ZnPd

A geometry-optimized Li2ZnPd structure (PBE, the Alexandria database).

a = 3.749 Å, b = 3.749 Å, c = 4.061 Å
α = 90.00°, β = 90.00°, γ = 90.00°
Atoms (fractional coordinates):
Li: 0.000 0.500 0.000
Li: 0.500 0.000 0.000
Zn: 0.000 0.000 0.500
Pd: 0.500 0.500 0.500

DFT formation energy, meV/atom: -386
M_tot, Bohr magnetons per cell: 0.00
Energy, eV/f.u.: -11.84

=====

# BePdPt2Pb

A geometry-optimized BePdPt2Pb structure (PBE, the Alexandria database).

a = 4.362 Å, b = 4.362 Å, c = 4.463 Å
α = 90.00°, β = 90.00°, γ = 90.00°
Atoms (fractional coordinates):
Be: 0.000 0.000 0.000
Pd: 0.000 0.000 0.500
Pt: 0.000 0.500 0.000
Pt: 0.500 0.000 0.000
Pb: 0.500 0.500 0.500

DFT formation energy, meV/atom: -131
M_tot, Bohr magnetons per cell: 0.00
Energy, eV/f.u.: -25.36

=====

# Re2Ni7Rh2

A geometry-optimized Re2Ni7Rh2 structure (PBE, the Alexandria database).

a = 5.035 Å, b = 5.035 Å, c = 5.949 Å
α = 102.39°, β = 102.39°, γ = 79.06°
Atoms (fractional coordinates):
Re: 0.071 0.071 0.317
Re: 0.929 0.929 0.683
Ni: 0.000 0.414 0.673
Ni: 0.000 0.586 0.327
Ni: 0.235 0.235 0.022
Ni: 0.414 0.000 0.673
Ni: 0.500 0.500 0.500
Ni: 0.586 0.000 0.327
Ni: 0.765 0.765 0.978
Rh: 0.287 0.713 0.000
Rh: 0.713 0.287 0.000

DFT formation energy, meV/atom: 173
M_tot, Bohr magnetons per cell: 0.00
Energy, eV/f.u.: -78.16

=====

# HfScHg2Sb

A geometry-optimized HfScHg2Sb structure (PBE, the Alexandria database).

a = 5.249 Å, b = 5.249 Å, c = 5.310 Å
α = 90.00°, β = 90.00°, γ = 90.00°
Atoms (fractional coordinates):
Hf: 0.000 0.000 0.000
Sc: 0.500 0.500 0.500
Hg: 0.000 0.500 0.500
Hg: 0.500 0.000 0.500
Sb: 0.500 0.500 0.000

Formation energy without anion corrections, eV per formula unit: 3.5
M_tot, Bohr magnetons per cell: 0.00
Energy, eV/f.u.: -17.53

=====

# MnInAgBr6

A geometry-optimized MnInAgBr6 structure (PBE, the Alexandria database).

a = 6.631 Å, b = 6.631 Å, c = 12.110 Å
α = 90.00°, β = 90.00°, γ = 90.00°
Atoms (fractional coordinates):
Mn: 0.000 0.000 0.000
Mn: 0.500 0.500 0.500
In: 0.000 0.000 0.663
In: 0.500 0.500 0.163
Ag: 0.000 0.000 0.331
Ag: 0.500 0.500 0.831
Br: 0.187 0.187 0.834
Br: 0.199 0.199 0.156
Br: 0.202 0.202 0.503
Br: 0.298 0.702 0.003
Br: 0.301 0.699 0.656
Br: 0.313 0.687 0.334
Br: 0.687 0.313 0.334
Br: 0.699 0.301 0.656
Br: 0.702 0.298 0.003
Br: 0.798 0.798 0.503
Br: 0.801 0.801 0.156
Br: 0.813 0.813 0.834

Formation energy without anion corrections, eV per formula unit: -5.8
M_tot, Bohr magnetons per cell: 10.00
Energy, eV/f.u.: -30.57